VASP calculation (PBE-GGA) on MoPCl4 after structural relaxation.

Cell lengths 8.0447, 8.0632, 7.3190 Å; angles 79.73, 103.16, 129.48 degrees
Last column: magnetic moment on the atom in μB.
Fractional coordinates of all 12 atoms:
Cl 0.0780 0.8301 0.1961  0.02
Cl 0.4536 0.6891 0.7416  0.00
Cl 0.5464 0.3109 0.2582  0.00
Cl 0.9220 0.1699 0.8037  0.02
Cl 0.9045 0.7268 0.7095  0.04
Cl 0.0955 0.2731 0.2903  0.04
Cl 0.3993 0.2274 0.8268  0.01
Cl 0.6007 0.7726 0.1730  0.01
P 0.2834 0.5474 0.9973  -0.01
P 0.7166 0.4526 0.0025  -0.01
Mo 0.8182 0.8202 0.9455  0.79
Mo 0.1818 0.1798 0.0543  0.79

Computed properties:
space-group type: P-1
energy above the lowest structure with this stoichiometry: 0.0 meV per atom
raw formation energy: -0.5168 eV per atom
total magnetization: 1.00 μB per formula unit
volume: 356 Å³ per cell